VASP calculation (GGA-PBE) on a geometry-optimized Ba3NaP2O8 structure.

Computed properties:
Formation energy from raw total energies ... -2539 meV per atom
Total magnetic moment ... 0.000 μB per cell
SG ... P-3m1
D(E_F) ... 4.00 states/eV/f.u.
DFT total energy ... -6.65 eV/atom

Unit cell a=5.8242 b=5.8242 c=7.5816 alpha=90.00 beta=90.00 gamma=120.00
Last column: nearest neighbours and their distance in Å.
Atoms (fractional coordinates):
1 Ba 0.0000 0.0000 0.0000  6 O 2.96
2 Ba 0.3333 0.6667 0.6717  7 O 2.66-2.93
3 Ba 0.6667 0.3333 0.3283  7 O 2.66-2.93
4 Na 0.0000 0.0000 0.5000  6 O 2.42
5 P 0.3333 0.6667 0.2250  4 O 1.54-1.58
6 P 0.6667 0.3333 0.7750  4 O 1.54-1.58
7 O 0.1877 0.3754 0.3003  1 P 1.58
8 O 0.1877 0.8123 0.3003  1 P 1.58
9 O 0.3333 0.6667 0.0225  1 P 1.54
10 O 0.3754 0.1877 0.6997  1 P 1.58
11 O 0.6246 0.8123 0.3003  1 P 1.58
12 O 0.6667 0.3333 0.9775  1 P 1.54
13 O 0.8123 0.1877 0.6997  1 P 1.58
14 O 0.8123 0.6246 0.6997  1 P 1.58

***

VASP calculation (GGA-PBE) on a geometry-optimized BaNa2P2O7 structure.

Computed properties:
Formation energy from raw total energies ... -2414 meV per atom
Total magnetic moment ... 0.000 μB per cell
SG ... R32
D(E_F) ... 0.00 states/eV/f.u.
DFT total energy ... -6.59 eV/atom

Unit cell a=8.1893 b=8.1893 c=8.1893 alpha=40.46 beta=40.46 gamma=40.46
Last column: nearest neighbours and their distance in Å.
Atoms (fractional coordinates):
1 Ba 0.0000 0.0000 0.0000  6 O 2.73
2 Na 0.2239 0.2239 0.2239  3 O 2.26
3 Na 0.7761 0.7761 0.7761  3 O 2.26
4 P 0.4283 0.4283 0.4283  4 O 1.53-1.62
5 P 0.5717 0.5717 0.5717  4 O 1.53-1.62
6 O 0.1504 0.4074 0.6726  1 P 1.53
7 O 0.3274 0.5926 0.8496  1 P 1.53
8 O 0.4073 0.6726 0.1504  1 P 1.53
9 O 0.5000 0.5000 0.5000  2 P 1.62
10 O 0.5927 0.8496 0.3274  1 P 1.53
11 O 0.6726 0.1504 0.4073  1 P 1.53
12 O 0.8496 0.3274 0.5927  1 P 1.53